Entry 1:
Cs2HgAu2 | the Alexandria database | meta-GGA SCAN | single point on PBEsol structure; uncorrected energy = -56.55 eV/atom; symmetry = I4/mmm (139); distance to the lowest polymorph of the same formula = 220 meV per atom; calculated formation energy = -0.130 eV/atom
1.0
-0.283 2.217 6.022
4.440 -4.285 1.786
2.139 4.894 -5.127
Cs Au Hg
2 2 1
Direct
0.333 0.333 0.666 Cs
0.667 0.667 0.334 Cs
0.750 0.250 0.500 Au
0.250 0.750 0.500 Au
0.000 0.000 0.000 Hg



Entry 2:
Cs2HgAu2 | the Alexandria database | meta-GGA SCAN | single point on PBEsol structure; uncorrected energy = -56.77 eV/atom; symmetry = I4/mmm (139); distance to the lowest polymorph of the same formula = 0 meV per atom; calculated formation energy = -0.350 eV/atom
1.0
-1.133 -6.092 0.911
5.935 1.712 1.035
-2.943 3.809 4.008
Cs Hg Au
2 1 2
Direct
0.500 0.750 0.250 Cs
0.500 0.250 0.750 Cs
0.000 0.000 0.000 Hg
0.000 0.663 0.663 Au
0.000 0.337 0.337 Au



Entry 3:
CsAu3I | the Alexandria database | meta-GGA SCAN | single point on PBEsol structure; formation energy without anion corrections = 1.272 eV per atom; uncorrected energy = -55.13 eV/atom; symmetry = Pm-3m (221)
1.0
5.635 0.000 0.000
0.000 5.635 0.000
0.000 0.000 5.635
Au Cs I
3 1 1
Direct
0.500 0.000 0.000 Au
0.000 0.000 0.500 Au
0.000 0.500 0.000 Au
0.000 0.000 0.000 Cs
0.500 0.500 0.500 I



Entry 4:
CsAuIN2 | the Alexandria database | meta-GGA SCAN | single point on PBEsol structure; formation energy without anion corrections = 2.243 eV per atom; uncorrected energy = -30.22 eV/atom; symmetry = P4/mmm (123)
1.0
-1.494 3.251 -2.392
-3.986 -1.590 0.329
-1.101 4.042 6.183
N Cs I Au
2 1 1 1
Direct
0.000 0.500 0.000 N
0.500 0.000 0.000 N
0.000 0.000 0.000 Cs
0.000 0.000 0.500 I
0.500 0.500 0.500 Au



Among the records above, which one has the lowest uncorrected energy? number 2



Look up the uncorrected energy of the second one. -56.77 eV/atom